VASP calculation (PBE-GGA) on a geometry-optimized PrSc2Ag2Sn2 structure.

Cell and atoms, written as extended XYZ:
```
7
Lattice="-4.0627 1.9549 1.5034 -4.1478 -1.4494 -1.8118 -3.3309 -5.7591 5.9994" Properties=species:S:1:pos:R:3 pbc="T T T"
Pr 0.0000 0.0000 0.0000
Sn -8.6731 -4.1106 4.4436
Sn -2.8683 -1.1430 1.2473
Ag -5.8728 -3.6460 3.8947
Ag -5.6685 -1.6076 1.7963
Sc -8.4540 -1.9241 2.1928
Sc -3.0874 -3.3295 3.4982
```

The total energy is -4.9287 eV/atom. The volume is 166.8 Å³/cell.